An optimized crystal structure of Nd12Ag6Rh, computed with PBE.

Cell: 8.3291 8.3291 8.3291 Å, 93.27 93.27 93.27°
Atoms (fractional coordinates):
Nd  0.4352  0.5417  0.1955
Nd  0.0321  0.9049  0.6789
Nd  0.1955  0.4352  0.5417
Nd  0.4583  0.8045  0.5648
Nd  0.9679  0.0951  0.3211
Nd  0.0951  0.3211  0.9679
Nd  0.5648  0.4583  0.8045
Nd  0.3211  0.9679  0.0951
Nd  0.6789  0.0321  0.9049
Nd  0.5417  0.1955  0.4352
Nd  0.8045  0.5648  0.4583
Nd  0.9049  0.6789  0.0321
Ag  0.2604  0.6612  0.8606
Ag  0.7396  0.3388  0.1394
Ag  0.1394  0.7396  0.3388
Ag  0.6612  0.8606  0.2604
Ag  0.8606  0.2604  0.6612
Ag  0.3388  0.1394  0.7396
Rh  0.0000  0.0000  0.0000

total moment: 0.0 μB per cell
SG: No. 148
ΔE_f: -11.25 kJ/mol of atoms
uncorrected energy: -4.415 eV per atom